Below is Ba2HoPaSe6 after structural relaxation, with properties calculated at the GGA-PBE level.

Values from the calculation:
formation energy (no corrections)	-1819	meV/atom

```
data_Ba2HoPaSe6
_cell_length_a 7.472
_cell_length_b 7.865
_cell_length_c 10.817
_cell_angle_alpha 90.00
_cell_angle_beta 89.84
_cell_angle_gamma 90.00
_space_group_name_H-M_alt 'P 1'
_space_group_IT_number 1
_space_group_name_Hall 'P 1'
loop_
_atom_site_label
_atom_site_fract_x
_atom_site_fract_y
_atom_site_fract_z
_atom_site_occupancy
Se1 0.300 0.697 0.046 1
Se2 0.306 0.704 0.453 1
Se3 0.411 0.982 0.747 1
Se4 0.589 0.018 0.253 1
Se5 0.800 0.803 0.546 1
Se6 0.194 0.204 0.047 1
Ba1 0.978 0.072 0.749 1
Se7 0.694 0.296 0.547 1
Pa1 0.000 0.500 0.000 1
Ba2 0.478 0.428 0.249 1
Se8 0.806 0.796 0.953 1
Pa2 0.500 0.000 0.500 1
Ba3 0.522 0.572 0.751 1
Ho1 0.500 0.000 0.000 1
Se9 0.200 0.197 0.454 1
Ho2 0.000 0.500 0.500 1
Ba4 0.022 0.928 0.251 1
Se10 0.089 0.482 0.753 1
Se11 0.700 0.303 0.954 1
Se12 0.911 0.518 0.247 1
```

---

Below is BaHoPb6 after structural relaxation, with properties calculated at the GGA-PBE level.

Values from the calculation:
energy relative to the elements	-0.318	eV per atom

```
data_BaHoPb6
_cell_length_a 5.078
_cell_length_b 5.078
_cell_length_c 9.727
_cell_angle_alpha 90.00
_cell_angle_beta 90.00
_cell_angle_gamma 90.00
_space_group_name_H-M_alt 'P 1'
_space_group_IT_number 1
_space_group_name_Hall 'P 1'
loop_
_atom_site_label
_atom_site_fract_x
_atom_site_fract_y
_atom_site_fract_z
_atom_site_occupancy
Pb1 0.000 0.500 0.265 1
Pb2 0.500 0.500 0.500 1
Pb3 0.500 0.500 0.000 1
Pb4 0.500 0.000 0.265 1
Pb5 0.000 0.500 0.735 1
Ho1 0.000 0.000 0.500 1
Pb6 0.500 0.000 0.735 1
Ba1 0.000 0.000 0.000 1
```

---

Number 2 is which compound? BaHoPb6